(1)
DFT (PBE-GGA) results for an optimized crystal structure of TiAlInPd2.

Results
total magnetization	0.2814	μB/atom
energy of formation	0.1975	eV/atom
crystal system	tetragonal
E	-23.77	eV for the cell shown
space-group type	P4/mmm

Unit cell a=4.5666 b=4.5666 c=4.8667 alpha=90.00 beta=90.00 gamma=90.00
Fractional positions:
1 Ti 0.0000 0.0000 0.0000
2 Al 0.0000 0.0000 0.5000
3 In 0.5000 0.5000 0.0000
4 Pd 0.0000 0.5000 0.5000
5 Pd 0.5000 0.0000 0.5000

=====

(2)
DFT (PBE-GGA) results for an optimized crystal structure of TmAlIn2Pd4.

Results
total magnetization	0.0000	μB/atom
energy of formation	-0.7308	eV/atom
crystal system	trigonal
E	-40.31	eV for the cell shown
space-group type	R-3m

Unit cell a=8.0058 b=8.0058 c=8.0058 alpha=33.92 beta=33.92 gamma=33.92
Fractional positions:
1 Tm 0.0000 0.0000 0.0000
2 Al 0.5000 0.5000 0.5000
3 In 0.2525 0.2525 0.2525
4 In 0.7475 0.7475 0.7475
5 Pd 0.1301 0.1301 0.1301
6 Pd 0.3865 0.3865 0.3865
7 Pd 0.6135 0.6135 0.6135
8 Pd 0.8699 0.8699 0.8699

=====

(3)
DFT (PBE-GGA) results for an optimized crystal structure of TmAlInPd.

Results
total magnetization	0.0000	μB/atom
energy of formation	-0.4859	eV/atom
crystal system	cubic
E	-18.09	eV for the cell shown
space-group type	F-43m

Unit cell a=4.8214 b=4.8214 c=4.8214 alpha=60.00 beta=60.00 gamma=60.00
Fractional positions:
1 Tm 0.0000 0.0000 0.0000
2 Al 0.5000 0.5000 0.5000
3 In 0.2500 0.2500 0.2500
4 Pd 0.7500 0.7500 0.7500

=====

(4)
DFT (PBE-GGA) results for an optimized crystal structure of Al2ZnIn2Pd5.

Results
total magnetization	0.0000	μB/atom
energy of formation	-0.5019	eV/atom
crystal system	tetragonal
E	-90.44	eV for the cell shown
space-group type	P4/mbm

Unit cell a=9.8250 b=9.8250 c=3.4704 alpha=90.00 beta=90.00 gamma=90.00
Fractional positions:
1 Al 0.1333 0.3667 0.0000
2 Al 0.3667 0.8667 0.0000
3 Al 0.6333 0.1333 0.0000
4 Al 0.8667 0.6333 0.0000
5 Zn 0.0000 0.0000 0.0000
6 Zn 0.5000 0.5000 0.0000
7 In 0.1656 0.6656 0.0000
8 In 0.3344 0.1656 0.0000
9 In 0.6656 0.8344 0.0000
10 In 0.8344 0.3344 0.0000
11 Pd 0.0000 0.5000 0.5000
12 Pd 0.0972 0.1853 0.5000
13 Pd 0.1853 0.9028 0.5000
14 Pd 0.3147 0.4028 0.5000
15 Pd 0.4028 0.6853 0.5000
16 Pd 0.5000 0.0000 0.5000
17 Pd 0.5972 0.3147 0.5000
18 Pd 0.6853 0.5972 0.5000
19 Pd 0.8147 0.0972 0.5000
20 Pd 0.9028 0.8147 0.5000

=====

(5)
DFT (PBE-GGA) results for an optimized crystal structure of AlZn2In2Pd5.

Results
total magnetization	0.0000	μB/atom
energy of formation	-0.4827	eV/atom
crystal system	tetragonal
E	-85.12	eV for the cell shown
space-group type	P4/mbm

Unit cell a=10.6182 b=10.6182 c=3.0100 alpha=90.00 beta=90.00 gamma=90.00
Fractional positions:
1 Al 0.0000 0.0000 0.0000
2 Al 0.5000 0.5000 0.0000
3 Zn 0.1408 0.3592 0.0000
4 Zn 0.3592 0.8592 0.0000
5 Zn 0.6408 0.1408 0.0000
6 Zn 0.8592 0.6408 0.0000
7 In 0.1541 0.6541 0.0000
8 In 0.3459 0.1541 0.0000
9 In 0.6541 0.8459 0.0000
10 In 0.8459 0.3459 0.0000
11 Pd 0.0000 0.5000 0.5000
12 Pd 0.1228 0.1568 0.5000
13 Pd 0.1568 0.8772 0.5000
14 Pd 0.3432 0.3772 0.5000
15 Pd 0.3772 0.6568 0.5000
16 Pd 0.5000 0.0000 0.5000
17 Pd 0.6228 0.3432 0.5000
18 Pd 0.6568 0.6228 0.5000
19 Pd 0.8432 0.1228 0.5000
20 Pd 0.8772 0.8432 0.5000

=====

(6)
DFT (PBE-GGA) results for an optimized crystal structure of ZrAlInPd2.

Results
total magnetization	0.0000	μB/atom
energy of formation	0.5875	eV/atom
crystal system	tetragonal
E	-22.48	eV for the cell shown
space-group type	P4/mmm

Unit cell a=4.8681 b=4.8681 c=4.8343 alpha=90.00 beta=90.00 gamma=90.00
Fractional positions:
1 Zr 0.0000 0.0000 0.0000
2 Al 0.5000 0.5000 0.0000
3 In 0.5000 0.5000 0.5000
4 Pd 0.0000 0.5000 0.5000
5 Pd 0.5000 0.0000 0.5000

=====

- The highest energy of formation belongs to which entry?
  ZrAlInPd2

=====

- Among the records above, which one has the lowest E?
  Al2ZnIn2Pd5